No. 1
Below is a relaxed structure of Pm8SmMg2, with properties calculated at the PBE level.

The structure in POSCAR format:
```
Pm8SmMg2
1.0
-0.416 -5.789 0.715
6.235 -4.082 4.952
-1.304 -0.921 8.966
Mg Pm Sm
2 8 1
Direct
0.000 0.693 0.614
0.000 0.307 0.386
0.500 0.789 0.421
0.294 0.412 0.000
0.858 0.097 0.228
0.706 0.588 0.000
0.142 0.674 0.228
0.500 0.211 0.579
0.142 0.903 0.772
0.858 0.326 0.772
0.500 0.000 0.000
```

Output
Calculated total energy ... -4.059 eV/atom
Size of the total moment ... 0.00 μB/f.u.
Energy of formation ... 0.11 eV/atom

No. 2
Below is a relaxed structure of PmSmMg2, with properties calculated at the PBE level.

The structure in POSCAR format:
```
PmSmMg2
1.0
5.450 0.000 0.000
2.725 4.720 0.000
2.725 1.573 4.450
Sm Pm Mg
1 1 2
Direct
0.000 0.000 0.000
0.500 0.500 0.500
0.250 0.250 0.250
0.750 0.750 0.750
```

Output
Calculated total energy ... -3.275 eV/atom
Size of the total moment ... 0.00 μB/f.u.
Energy of formation ... -0.11 eV/atom

No. 3
Below is a relaxed structure of Pm7Sm4Mg, with properties calculated at the PBE level.

The structure in POSCAR format:
```
Pm7Sm4Mg
1.0
5.911 1.592 2.082
4.020 6.842 3.434
0.092 0.045 12.113
Pm Sm Mg
7 4 1
Direct
0.739 0.545 0.910
0.261 0.455 0.090
0.353 0.790 0.420
0.860 0.864 0.272
0.647 0.210 0.580
0.140 0.136 0.728
0.500 0.000 0.000
0.818 0.707 0.585
0.272 0.615 0.770
0.182 0.293 0.415
0.728 0.385 0.230
0.000 0.000 0.000
```

Output
Calculated total energy ... -4.369 eV/atom
Size of the total moment ... 0.00 μB/f.u.
Energy of formation ... 0.11 eV/atom

No. 4
Below is a relaxed structure of Pm2SmMg, with properties calculated at the PBE level.

The structure in POSCAR format:
```
Pm2SmMg
1.0
3.726 0.000 0.000
0.000 3.726 0.000
0.000 0.000 9.093
Sm Pm Mg
1 2 1
Direct
0.500 0.500 0.500
0.000 0.000 0.227
0.000 0.000 0.773
0.500 0.500 0.000
```

Output
Calculated total energy ... -3.991 eV/atom
Size of the total moment ... 0.00 μB/f.u.
Energy of formation ... -0.04 eV/atom

No. 5
Below is a relaxed structure of Pm6Sm5Mg2, with properties calculated at the PBE level.

The structure in POSCAR format:
```
Pm6Sm5Mg2
1.0
3.572 0.000 0.000
0.000 10.609 0.000
0.000 0.000 22.959
Sm Mg Pm
10 4 12
Direct
0.500 0.333 0.494
0.500 0.500 0.000
0.500 0.918 0.751
0.500 0.082 0.249
0.500 0.418 0.749
0.500 0.582 0.251
0.500 0.000 0.500
0.500 0.667 0.506
0.500 0.167 0.994
0.500 0.833 0.006
0.000 0.832 0.239
0.000 0.332 0.261
0.000 0.168 0.761
0.000 0.668 0.739
0.500 0.332 0.134
0.000 0.354 0.882
0.000 0.518 0.387
0.500 0.668 0.866
0.000 0.646 0.118
0.000 0.982 0.887
0.000 0.854 0.618
0.000 0.018 0.113
0.500 0.168 0.634
0.500 0.832 0.366
0.000 0.146 0.382
0.000 0.482 0.613
```

Output
Calculated total energy ... -4.131 eV/atom
Size of the total moment ... 0.00 μB/f.u.
Energy of formation ... 0.12 eV/atom

No. 6
Below is a relaxed structure of Pm5Sm5Mg2, with properties calculated at the PBE level.

The structure in POSCAR format:
```
Pm5Sm5Mg2
1.0
3.584 0.000 0.753
1.436 9.000 2.072
-0.674 0.846 12.106
Sm Pm Mg
5 5 2
Direct
0.303 0.640 0.753
0.697 0.360 0.247
0.831 0.832 0.507
0.169 0.168 0.493
0.000 0.000 0.000
0.664 0.669 0.004
0.500 0.500 0.500
0.336 0.331 0.996
0.630 0.992 0.748
0.370 0.008 0.252
0.969 0.315 0.747
0.031 0.685 0.253
```

Output
Calculated total energy ... -4.208 eV/atom
Size of the total moment ... 0.00 μB/f.u.
Energy of formation ... 0.00 eV/atom

No. 7
Below is a relaxed structure of PmSm3Mg, with properties calculated at the PBE level.

The structure in POSCAR format:
```
PmSm3Mg
1.0
5.316 0.000 0.000
-2.658 5.778 0.052
0.000 -1.279 10.410
Sm Pm Mg
6 2 2
Direct
0.770 0.541 0.775
0.230 0.459 0.225
0.916 0.831 0.127
0.155 0.311 0.553
0.084 0.169 0.873
0.845 0.689 0.447
0.533 0.066 0.337
0.467 0.934 0.663
0.628 0.255 0.050
0.372 0.745 0.950
```

Output
Calculated total energy ... -4.105 eV/atom
Size of the total moment ... 0.00 μB/f.u.
Energy of formation ... 0.00 eV/atom

No. 8
Below is a relaxed structure of PmSm2Mg6, with properties calculated at the PBE level.

The structure in POSCAR format:
```
PmSm2Mg6
1.0
-1.090 1.878 -2.508
-6.047 -6.522 -2.255
-8.400 0.056 3.692
Mg Pm Sm
6 1 2
Direct
0.501 0.334 0.000
0.501 0.000 0.334
0.499 0.666 0.000
0.500 0.666 0.334
0.499 0.000 0.666
0.500 0.334 0.666
0.000 0.000 0.000
0.000 0.333 0.333
0.000 0.667 0.667
```

Output
Calculated total energy ... -2.733 eV/atom
Size of the total moment ... 0.00 μB/f.u.
Energy of formation ... -0.09 eV/atom

No. 9
Below is a relaxed structure of PmSm2Mg, with properties calculated at the PBE level.

The structure in POSCAR format:
```
PmSm2Mg
1.0
-4.990 -0.101 -0.426
0.418 -2.487 -4.308
-0.125 -4.327 2.486
Sm Pm Mg
2 1 1
Direct
0.000 0.000 0.500
0.000 0.500 0.000
0.500 0.500 0.500
0.500 0.000 0.000
```

Output
Calculated total energy ... -3.939 eV/atom
Size of the total moment ... 0.00 μB/f.u.
Energy of formation ... 0.01 eV/atom

No. 10
Below is a relaxed structure of PmSm9Mg2, with properties calculated at the PBE level.

The structure in POSCAR format:
```
PmSm9Mg2
1.0
5.034 0.000 0.000
0.000 5.034 0.000
0.000 0.000 15.164
Sm Pm Mg
9 1 2
Direct
0.500 0.500 0.663
0.000 0.500 0.829
0.500 0.500 0.337
0.500 0.000 0.171
0.500 0.000 0.829
0.000 0.500 0.171
0.500 0.500 0.000
0.000 0.500 0.500
0.500 0.000 0.500
0.000 0.000 0.000
0.000 0.000 0.338
0.000 0.000 0.662
```

Output
Calculated total energy ... -4.187 eV/atom
Size of the total moment ... 0.00 μB/f.u.
Energy of formation ... 0.01 eV/atom

No. 11
Below is a relaxed structure of Pm4Sm2Mg, with properties calculated at the PBE level.

The structure in POSCAR format:
```
Pm4Sm2Mg
1.0
3.454 0.000 0.000
0.000 6.458 0.000
0.000 0.000 11.062
Mg Sm Pm
1 2 4
Direct
0.000 0.000 0.000
0.500 0.000 0.500
0.000 0.500 0.500
0.316 0.752 0.770
0.316 0.248 0.230
0.684 0.752 0.230
0.684 0.248 0.770
```

Output
Calculated total energy ... -4.057 eV/atom
Size of the total moment ... 0.00 μB/f.u.
Energy of formation ... 0.23 eV/atom

No. 12
Below is a relaxed structure of Pm6Sm12Mg, with properties calculated at the PBE level.

The structure in POSCAR format:
```
Pm6Sm12Mg
1.0
-5.761 -6.621 0.284
3.399 -1.828 -7.887
6.284 -3.793 4.820
Sm Mg Pm
12 1 6
Direct
0.582 0.170 0.582
0.262 0.738 0.000
0.738 0.000 0.262
0.262 0.000 0.738
0.418 0.418 0.830
0.000 0.738 0.262
0.582 0.582 0.170
0.830 0.418 0.418
0.170 0.582 0.582
0.418 0.830 0.418
0.000 0.262 0.738
0.738 0.262 0.000
0.000 0.000 0.000
0.866 0.865 0.593
0.593 0.866 0.865
0.135 0.407 0.134
0.865 0.593 0.866
0.407 0.134 0.135
0.134 0.135 0.407
```

Output
Calculated total energy ... -4.437 eV/atom
Size of the total moment ... 0.00 μB/f.u.
Energy of formation ... 0.13 eV/atom

No. 13
Below is a relaxed structure of PmSm8Mg2, with properties calculated at the PBE level.

The structure in POSCAR format:
```
PmSm8Mg2
1.0
5.661 1.354 0.000
2.182 8.630 0.000
1.091 4.315 7.894
Sm Mg Pm
8 2 1
Direct
0.140 0.903 0.772
0.860 0.325 0.772
0.294 0.411 0.000
0.706 0.589 0.000
0.140 0.675 0.228
0.500 0.211 0.577
0.860 0.097 0.228
0.500 0.789 0.423
0.000 0.307 0.386
0.000 0.693 0.614
0.500 0.000 0.000
```

Output
Calculated total energy ... -4.033 eV/atom
Size of the total moment ... 0.00 μB/f.u.
Energy of formation ... 0.12 eV/atom

No. 14
Below is a relaxed structure of Pm2Sm8Mg, with properties calculated at the PBE level.

The structure in POSCAR format:
```
Pm2Sm8Mg
1.0
5.997 0.477 0.396
0.881 8.189 -0.531
0.881 0.975 8.148
Sm Pm Mg
8 2 1
Direct
0.206 0.861 0.342
0.902 0.270 0.270
0.794 0.658 0.139
0.098 0.730 0.730
0.206 0.342 0.861
0.794 0.139 0.658
0.287 0.422 0.422
0.713 0.578 0.578
0.507 0.138 0.138
0.493 0.862 0.862
0.000 0.000 0.000
```

Output
Calculated total energy ... -4.062 eV/atom
Size of the total moment ... 0.00 μB/f.u.
Energy of formation ... 0.38 eV/atom

No. 15
Below is a relaxed structure of Pm3Sm5Mg2, with properties calculated at the PBE level.

The structure in POSCAR format:
```
Pm3Sm5Mg2
1.0
-3.661 0.940 5.903
5.415 -6.838 8.608
8.182 1.216 9.042
Sm Pm Mg
10 6 4
Direct
0.916 0.834 0.834
0.719 0.110 0.452
0.281 0.890 0.548
0.750 0.500 0.500
0.219 0.452 0.110
0.250 0.500 0.500
0.084 0.166 0.166
0.416 0.834 0.834
0.781 0.548 0.890
0.584 0.166 0.166
0.122 0.200 0.557
0.622 0.557 0.200
0.250 0.000 0.000
0.378 0.443 0.800
0.878 0.800 0.443
0.750 0.000 0.000
0.578 0.181 0.662
0.922 0.338 0.819
0.078 0.662 0.181
0.422 0.819 0.338
```

Output
Calculated total energy ... -3.993 eV/atom
Size of the total moment ... 0.00 μB/f.u.
Energy of formation ... 0.11 eV/atom

No. 16
Below is a relaxed structure of Pm6SmMg2, with properties calculated at the PBE level.

The structure in POSCAR format:
```
Pm6SmMg2
1.0
-2.626 1.810 1.426
-4.806 -6.318 3.446
3.056 0.111 9.768
Pm Mg Sm
6 2 1
Direct
0.949 0.351 0.750
0.626 0.302 0.446
0.374 0.698 0.554
0.051 0.649 0.250
0.228 0.653 0.890
0.772 0.347 0.110
0.657 0.984 0.703
0.343 0.016 0.297
0.000 0.000 0.000
```

Output
Calculated total energy ... -3.938 eV/atom
Size of the total moment ... 0.46 μB/f.u.
Energy of formation ... 0.11 eV/atom

No. 17
Below is a relaxed structure of Pm2SmMg2, with properties calculated at the PBE level.

The structure in POSCAR format:
```
Pm2SmMg2
1.0
-3.226 2.888 3.395
-5.175 -3.974 -1.537
3.622 -6.444 4.465
Pm Sm Mg
4 2 4
Direct
0.802 0.358 0.605
0.977 0.748 0.955
0.198 0.858 0.395
0.023 0.248 0.045
0.592 0.585 0.184
0.408 0.085 0.816
0.207 0.360 0.415
0.621 0.083 0.242
0.793 0.860 0.585
0.379 0.583 0.758
```

Output
Calculated total energy ... -3.483 eV/atom
Size of the total moment ... 0.00 μB/f.u.
Energy of formation ... 0.00 eV/atom

No. 18
Below is a relaxed structure of Pm5Sm4Mg2, with properties calculated at the PBE level.

The structure in POSCAR format:
```
Pm5Sm4Mg2
1.0
-0.122 1.925 -3.005
-6.849 -4.859 -2.835
-0.811 10.780 9.063
Sm Pm Mg
4 5 2
Direct
0.928 0.571 0.855
0.711 0.602 0.423
0.289 0.398 0.577
0.072 0.429 0.145
0.131 0.161 0.261
0.817 0.104 0.634
0.500 0.000 0.000
0.869 0.839 0.739
0.183 0.896 0.366
0.555 0.733 0.109
0.445 0.267 0.891
```

Output
Calculated total energy ... -4.112 eV/atom
Size of the total moment ... 0.00 μB/f.u.
Energy of formation ... 0.05 eV/atom

No. 19
Below is a relaxed structure of Pm4Sm3Mg4, with properties calculated at the PBE level.

The structure in POSCAR format:
```
Pm4Sm3Mg4
1.0
-1.542 -3.892 -3.629
4.833 -4.286 2.542
-7.586 0.910 6.477
Sm Pm Mg
3 4 4
Direct
0.000 0.500 0.000
0.897 0.897 0.793
0.103 0.103 0.207
0.316 0.079 0.632
0.684 0.921 0.368
0.316 0.553 0.632
0.684 0.447 0.368
0.831 0.331 0.663
0.500 0.781 0.000
0.169 0.669 0.337
0.500 0.219 0.000
```

Output
Calculated total energy ... -3.487 eV/atom
Size of the total moment ... 0.00 μB/f.u.
Energy of formation ... 0.11 eV/atom

No. 20
Below is a relaxed structure of PmSm2Mg8, with properties calculated at the PBE level.

The structure in POSCAR format:
```
PmSm2Mg8
1.0
4.877 0.000 -1.484
-0.925 6.532 -3.038
-0.100 1.234 8.425
Mg Sm Pm
8 2 1
Direct
0.023 0.717 0.045
0.322 0.104 0.645
0.857 0.855 0.715
0.678 0.896 0.355
0.588 0.468 0.177
0.412 0.532 0.823
0.977 0.283 0.955
0.143 0.145 0.285
0.782 0.359 0.563
0.218 0.641 0.437
0.500 0.000 0.000
```

Output
Calculated total energy ... -2.507 eV/atom
Size of the total moment ... 0.00 μB/f.u.
Energy of formation ... -0.06 eV/atom